No. 1
This record from Alexandria via LeMat-Bulk describes a crystal of Mn2CoPC relaxed with PBEsol. The functional is SCAN.

Results
density of states at the Fermi level: 2.43 states/eV/cell
energy of formation: 0.8963 eV per atom
total DFT energy (no corrections): -69.83 eV/cell
M_tot: 8.6 μB per formula unit
density: 5347 kg/m³

a = 4.3604 Å, b = 4.3604 Å, c = 3.4594 Å
α = 90.00°, β = 90.00°, γ = 90.00°
Last column: nearest neighbours and their distance in Å.
Space group P4/mmm (No. 123)
One atom of each set of equivalent atoms:
Mn (0.0000, 0.5000, 0.0000)  2 P 2.18
Co (0.0000, 0.0000, 0.5000)  8 Mn 2.78, 4 C 3.08
P (0.5000, 0.5000, 0.0000)  2 C 1.73
C (0.5000, 0.5000, 0.5000)  2 P 1.73

No. 2
This record from Alexandria via LeMat-Bulk describes a crystal of TaAgW2 relaxed with PBEsol. The functional is SCAN.

Results
density of states at the Fermi level: 11.23 states/eV/cell
energy of formation: 0.6939 eV per atom
energy above the lowest structure with this stoichiometry: 1.32 eV per formula unit
total DFT energy (no corrections): -938.20 eV/cell
M_tot: 0.0 μB per formula unit
density: 16688 kg/m³

a = 6.3931 Å, b = 6.3931 Å, c = 6.3931 Å
α = 90.00°, β = 90.00°, γ = 90.00°
Last column: nearest neighbours and their distance in Å.
Space group Fm-3m (No. 225)
One atom of each set of equivalent atoms:
Ta (0.0000, 0.0000, 0.0000)  8 W 2.77
Ag (0.0000, 0.0000, 0.5000)  8 W 2.77
W (0.2500, 0.2500, 0.2500)  4 Ta 2.77, 4 Ag 2.77

No. 3
This record from Alexandria via LeMat-Bulk describes a crystal of KOsRh2 relaxed with PBEsol. The functional is SCAN.

Results
density of states at the Fermi level: 4.30 states/eV/cell
energy of formation: 0.6524 eV per atom
energy above the lowest structure with this stoichiometry: 0.59 eV per formula unit
total DFT energy (no corrections): -145.14 eV/cell
M_tot: 1.3 μB per formula unit
density: 10770 kg/m³

a = 2.6961 Å, b = 2.6961 Å, c = 9.2300 Å
α = 90.00°, β = 90.00°, γ = 90.00°
Last column: nearest neighbours and their distance in Å.
Space group P4mm (No. 99)
One atom of each set of equivalent atoms:
K (0.0000, 0.0000, 0.0000)  4 K 2.70
Os (0.5000, 0.5000, 0.3082)  4 Rh 2.63, 4 Os 2.70
Rh (0.0000, 0.0000, 0.5043)  4 Os 2.63, 8 Rh 2.68-2.70
Rh (0.5000, 0.5000, 0.7085)  8 Rh 2.68-2.70